VASP calculation (PBE) on ZnNiMo after structural relaxation.

a = 2.6987 Å, b = 2.6987 Å, c = 6.5734 Å
α = 90.00°, β = 90.00°, γ = 120.00°
Closest atoms and distances in Å follow each position.
Space group P3m1 (No. 156)
Asymmetric unit:
Zn  0.0000  0.0000  0.0000 (multiplicity 1)  3 Ni 2.59, 6 Zn 2.70, 3 Mo 2.87
Ni  0.3333  0.6667  0.6853 (multiplicity 1)  3 Zn 2.59, 3 Mo 2.61, 6 Ni 2.70
Mo  0.6667  0.3333  0.3668 (multiplicity 1)  3 Ni 2.61, 6 Mo 2.70, 3 Zn 2.87

* energy of formation: 0.10 eV per atom
* polymorph energy (0 for the lowest one): 3.28 kcal/mol of atoms

***

VASP calculation (PBE) on Zn2Ni15Mo2 after structural relaxation.

a = 6.9938 Å, b = 6.9938 Å, c = 16.7300 Å
α = 90.00°, β = 90.00°, γ = 120.00°
Closest atoms and distances in Å follow each position.
Space group R-3m (No. 166, hexagonal axes)
Asymmetric unit:
Zn  0.0000  0.0000  0.0805 (multiplicity 6)  9 Ni 2.48-2.64, 1 Zn 2.69
Ni  0.0000  0.3255  0.0000 (multiplicity 18)  5 Ni 2.28-2.44
Ni  0.0000  0.5000  0.5000 (multiplicity 9)  2 Zn 2.48, 4 Ni 2.49, 2 Mo 2.64
Ni  0.0873  0.5437  0.1138 (multiplicity 18)  8 Ni 2.31-2.58
Mo  0.0000  0.0000  0.2684 (multiplicity 6)  12 Ni 2.60-2.68

* energy of formation: 0.25 eV per atom
* polymorph energy (0 for the lowest one): 3.61 kcal/mol of atoms

***

VASP calculation (PBE) on ZnNiMo after structural relaxation.

a = 2.7226 Å, b = 2.7226 Å, c = 10.8787 Å
α = 90.00°, β = 90.00°, γ = 90.00°
Closest atoms and distances in Å follow each position.
Space group I4mm (No. 107)
Asymmetric unit:
Zn  0.0000  0.0000  0.0000 (multiplicity 2)  4 Ni 2.55, 4 Zn 2.72, 4 Mo 2.79
Ni  0.0000  0.0000  0.3465 (multiplicity 2)  4 Zn 2.55, 4 Mo 2.60, 4 Ni 2.72
Mo  0.0000  0.0000  0.6857 (multiplicity 2)  4 Ni 2.60, 4 Mo 2.72, 4 Zn 2.79

* energy of formation: -0.04 eV per atom
* polymorph energy (0 for the lowest one): 0.00 kcal/mol of atoms

***

VASP calculation (PBE) on ZnNiMo after structural relaxation.

a = 5.8078 Å, b = 5.8078 Å, c = 5.8078 Å
α = 90.00°, β = 90.00°, γ = 90.00°
Closest atoms and distances in Å follow each position.
Space group F-43m (No. 216)
Asymmetric unit:
Zn  0.0000  0.0000  0.0000 (multiplicity 4)  4 Mo 2.51
Ni  0.0000  0.0000  0.5000 (multiplicity 4)  4 Mo 2.51
Mo  0.2500  0.2500  0.2500 (multiplicity 4)  4 Ni 2.51, 4 Zn 2.51

* energy of formation: 0.71 eV per atom
* polymorph energy (0 for the lowest one): 17.36 kcal/mol of atoms

***

VASP calculation (PBE) on ZnNiMo after structural relaxation.

a = 3.0847 Å, b = 3.0847 Å, c = 19.3910 Å
α = 90.00°, β = 90.00°, γ = 90.00°
Closest atoms and distances in Å follow each position.
Space group I4/mmm (No. 139)
Asymmetric unit:
Zn  0.0000  0.0000  0.0656 (multiplicity 4)  1 Zn 2.54, 4 Ni 2.59, 1 Mo 2.84
Ni  0.0000  0.0000  0.3627 (multiplicity 4)  4 Zn 2.59, 4 Mo 2.62
Mo  0.0000  0.0000  0.2122 (multiplicity 4)  5 Ni 2.62-2.92, 4 Mo 2.63, 1 Zn 2.84

* energy of formation: 0.17 eV per atom
* polymorph energy (0 for the lowest one): 4.98 kcal/mol of atoms

***

VASP calculation (PBE) on ZnNiMo after structural relaxation.

a = 5.6409 Å, b = 5.6409 Å, c = 5.6409 Å
α = 90.00°, β = 90.00°, γ = 90.00°
Closest atoms and distances in Å follow each position.
Space group F-43m (No. 216)
Asymmetric unit:
Zn  0.0000  0.0000  0.0000 (multiplicity 4)  4 Ni 2.44
Ni  0.2500  0.2500  0.7500 (multiplicity 4)  4 Mo 2.44, 4 Zn 2.44
Mo  0.0000  0.0000  0.5000 (multiplicity 4)  4 Ni 2.44

* energy of formation: 0.21 eV per atom
* polymorph energy (0 for the lowest one): 5.85 kcal/mol of atoms

***

VASP calculation (PBE) on ZnNi2Mo after structural relaxation.

a = 2.6223 Å, b = 3.6102 Å, c = 5.4430 Å
α = 90.00°, β = 90.00°, γ = 90.00°
Closest atoms and distances in Å follow each position.
Space group Pmm2 (No. 25)
Asymmetric unit:
Zn  0.0000  0.0000  0.0000 (multiplicity 1)  5 Ni 2.53, 2 Zn 2.62, 4 Mo 2.79
Ni  0.0000  0.0000  0.5354 (multiplicity 1)  1 Zn 2.53, 4 Mo 2.55, 6 Ni 2.60-2.62
Ni  0.5000  0.5000  0.7811 (multiplicity 1)  4 Zn 2.53, 1 Mo 2.58, 6 Ni 2.60-2.62
Mo  0.5000  0.5000  0.3073 (multiplicity 1)  5 Ni 2.55-2.58, 2 Mo 2.62, 4 Zn 2.79

* energy of formation: 0.02 eV per atom

***

VASP calculation (PBE) on ZnNiMo2 after structural relaxation.

a = 3.1917 Å, b = 3.1917 Å, c = 5.6379 Å
α = 90.00°, β = 90.00°, γ = 90.00°
Closest atoms and distances in Å follow each position.
Space group P4mm (No. 99)
Asymmetric unit:
Zn  0.0000  0.0000  0.0000 (multiplicity 1)  4 Ni 2.55, 5 Mo 2.72-2.74
Ni  0.5000  0.5000  0.7883 (multiplicity 1)  4 Zn 2.55, 5 Mo 2.73-2.74
Mo  0.0000  0.0000  0.5171 (multiplicity 1)  4 Mo 2.64, 2 Zn 2.72-2.92, 4 Ni 2.73
Mo  0.5000  0.5000  0.2750 (multiplicity 1)  4 Mo 2.64, 4 Zn 2.74, 2 Ni 2.74-2.89

* energy of formation: 0.09 eV per atom